# 1
{"formula": "NdInO3", "functional": "GGA-PBE", "state": "relaxed", "lattice": [[-2.416, 2.130, -2.625], [-3.361, -1.175, 2.140], [0.355, 3.368, 2.406]], "species": ["O", "O", "O", "In", "Nd"], "fractional_positions": [[0.000, 0.500, 0.500], [0.500, 0.000, 0.500], [0.500, 0.500, 0.000], [0.500, 0.500, 0.500], [0.000, 0.000, 0.000]], "spacegroup": "No. 221", "crystal_system": "cubic", "e_form_raw_kj_per_mol_fu": -988, "magmom_total_mub_per_cell": 0.00}

# 2
{"formula": "NdInOsO6", "functional": "GGA-PBE", "state": "relaxed", "lattice": [[-1.614, -5.175, 0.585], [4.553, 1.729, 2.451], [-5.303, 2.564, 8.040]], "species": ["O", "O", "O", "O", "O", "O", "O", "O", "O", "O", "O", "O", "Nd", "Nd", "Os", "Os", "In", "In"], "fractional_positions": [[0.343, 0.377, 0.860], [0.343, 0.966, 0.640], [0.657, 0.034, 0.360], [0.034, 0.657, 0.860], [0.657, 0.623, 0.140], [0.377, 0.034, 0.140], [0.377, 0.343, 0.360], [0.623, 0.657, 0.640], [0.966, 0.343, 0.140], [0.034, 0.377, 0.640], [0.966, 0.623, 0.360], [0.623, 0.966, 0.860], [0.000, 0.000, 0.500], [0.000, 0.000, 0.000], [0.333, 0.667, 0.750], [0.667, 0.333, 0.250], [0.667, 0.333, 0.750], [0.333, 0.667, 0.250]], "spacegroup": "No. 163", "crystal_system": "trigonal", "e_form_raw_kj_per_mol_fu": -1539, "magmom_total_mub_per_cell": 4.00}

# 3
{"formula": "NdPaInO6", "functional": "GGA-PBE", "state": "relaxed", "lattice": [[-2.956, 3.158, 2.132], [-4.019, -4.062, 0.444], [3.816, 0.728, 4.213]], "species": ["Pa", "O", "O", "O", "O", "O", "O", "Nd", "In"], "fractional_positions": [[0.000, 0.333, 0.667], [0.253, 0.661, 0.973], [0.747, 0.027, 0.339], [0.747, 0.312, 0.973], [0.253, 0.312, 0.339], [0.253, 0.027, 0.688], [0.747, 0.661, 0.688], [0.500, 0.667, 0.333], [0.500, 0.000, 0.000]], "spacegroup": "No. 149", "crystal_system": "trigonal", "e_form_raw_kj_per_mol_fu": -2241, "magmom_total_mub_per_cell": 0.58}

# 4
{"formula": "Nd4InPbO", "functional": "GGA-PBE", "state": "relaxed", "lattice": [[6.748, 0.000, 0.000], [0.000, 6.731, 0.000], [-3.374, 0.000, 8.845]], "species": ["Pb", "Pb", "Nd", "Nd", "Nd", "Nd", "Nd", "Nd", "Nd", "Nd", "In", "In", "O", "O"], "fractional_positions": [[0.109, 0.250, 0.217], [0.891, 0.750, 0.783], [0.082, 0.750, 0.164], [0.500, 0.500, 0.500], [0.567, 0.250, 0.133], [0.433, 0.750, 0.867], [0.000, 0.000, 0.500], [0.500, 0.000, 0.500], [0.918, 0.250, 0.836], [0.000, 0.500, 0.500], [0.614, 0.750, 0.228], [0.386, 0.250, 0.772], [0.223, 0.750, 0.445], [0.777, 0.250, 0.555]], "spacegroup": "No. 63", "crystal_system": "orthorhombic", "e_form_raw_kj_per_mol_fu": -747, "magmom_total_mub_per_cell": 0.00}

# 5
{"formula": "PmNd12In4O3", "functional": "GGA-PBE", "state": "relaxed", "lattice": [[8.888, 0.000, 0.000], [-2.963, 8.379, 0.000], [-2.963, -4.190, 7.257]], "species": ["Nd", "Nd", "Nd", "Nd", "Nd", "Nd", "Nd", "Nd", "Nd", "Nd", "Nd", "Nd", "O", "O", "O", "In", "In", "In", "In", "Pm"], "fractional_positions": [[0.750, 0.500, 0.250], [0.000, 0.728, 0.728], [0.728, 0.000, 0.728], [0.500, 0.750, 0.250], [0.000, 0.272, 0.272], [0.728, 0.728, 0.000], [0.500, 0.250, 0.750], [0.272, 0.000, 0.272], [0.250, 0.500, 0.750], [0.272, 0.272, 0.000], [0.250, 0.750, 0.500], [0.750, 0.250, 0.500], [0.500, 0.000, 0.500], [0.500, 0.500, 0.000], [0.000, 0.500, 0.500], [0.500, 0.000, 0.000], [0.000, 0.500, 0.000], [0.000, 0.000, 0.500], [0.500, 0.500, 0.500], [0.000, 0.000, 0.000]], "spacegroup": "No. 229", "crystal_system": "cubic", "e_form_raw_kj_per_mol_fu": -1529, "magmom_total_mub_per_cell": 0.81}

# 6
{"formula": "Pm2NdInO", "functional": "GGA-PBE", "state": "relaxed", "lattice": [[4.989, 0.000, 0.000], [0.000, 4.938, 0.000], [0.000, 0.000, 4.938]], "species": ["Pm", "Pm", "Nd", "O", "In"], "fractional_positions": [[0.000, 0.500, 0.000], [0.000, 0.000, 0.500], [0.500, 0.000, 0.000], [0.000, 0.000, 0.000], [0.500, 0.500, 0.500]], "spacegroup": "No. 123", "crystal_system": "tetragonal", "e_form_raw_kj_per_mol_fu": -684, "magmom_total_mub_per_cell": 0.00}

# 7
{"formula": "Pr2NdInO", "functional": "GGA-PBE", "state": "relaxed", "lattice": [[-3.480, 3.380, 1.133], [-0.085, -1.678, 4.744], [3.600, 3.295, 1.230]], "species": ["Pr", "Pr", "In", "Nd", "O"], "fractional_positions": [[0.000, 0.500, 0.000], [0.000, 0.000, 0.500], [0.500, 0.500, 0.500], [0.500, 0.000, 0.000], [0.000, 0.000, 0.000]], "spacegroup": "No. 123", "crystal_system": "tetragonal", "e_form_raw_kj_per_mol_fu": -673, "magmom_total_mub_per_cell": 0.00}

# 8
{"formula": "Pr12NdIn4O3", "functional": "GGA-PBE", "state": "relaxed", "lattice": [[8.967, 0.000, 0.000], [-2.989, 8.454, 0.000], [-2.989, -4.227, 7.322]], "species": ["Pr", "Pr", "Pr", "Pr", "Pr", "Pr", "Pr", "Pr", "Pr", "Pr", "Pr", "Pr", "In", "In", "In", "In", "O", "O", "O", "Nd"], "fractional_positions": [[0.500, 0.750, 0.250], [0.000, 0.728, 0.728], [0.250, 0.750, 0.500], [0.728, 0.728, 0.000], [0.750, 0.250, 0.500], [0.000, 0.272, 0.272], [0.500, 0.250, 0.750], [0.250, 0.500, 0.750], [0.272, 0.000, 0.272], [0.750, 0.500, 0.250], [0.272, 0.272, 0.000], [0.728, 0.000, 0.728], [0.500, 0.000, 0.000], [0.500, 0.500, 0.500], [0.000, 0.500, 0.000], [0.000, 0.000, 0.500], [0.500, 0.500, 0.000], [0.500, 0.000, 0.500], [0.000, 0.500, 0.500], [0.000, 0.000, 0.000]], "spacegroup": "No. 229", "crystal_system": "cubic", "e_form_raw_kj_per_mol_fu": -1525, "magmom_total_mub_per_cell": 0.84}